Entry from Alexandria via LeMat-Bulk: an optimized crystal structure of Li11Cd9Ag4 (GGA-PBE).

Structure (CIF):
```
data_Li11Cd9Ag4
_symmetry_space_group_name_H-M 'P 1'
_symmetry_Int_Tables_number 1
_cell_length_a 3.035
_cell_length_b 12.464
_cell_length_c 12.464
_cell_angle_alpha 111.47
_cell_angle_beta 90.00
_cell_angle_gamma 90.00
loop_
_symmetry_equiv_pos_as_xyz
'x,y,z'
loop_
_atom_site_label
_atom_site_type_symbol
_atom_site_fract_x
_atom_site_fract_y
_atom_site_fract_z
_atom_site_occupancy
Cd1 Cd 0.500 0.058 0.214 1
Cd2 Cd 0.500 0.786 0.942 1
Cd3 Cd 0.500 0.631 0.151 1
Cd4 Cd 0.500 0.151 0.631 1
Cd5 Cd 0.500 0.849 0.369 1
Cd6 Cd 0.500 0.500 0.500 1
Cd7 Cd 0.500 0.942 0.786 1
Cd8 Cd 0.500 0.369 0.849 1
Cd9 Cd 0.500 0.214 0.058 1
Ag1 Ag 0.500 0.749 0.553 1
Ag2 Ag 0.500 0.251 0.447 1
Ag3 Ag 0.500 0.553 0.749 1
Ag4 Ag 0.500 0.447 0.251 1
Li1 Li 0.000 0.000 0.000 1
Li2 Li 0.000 0.586 0.941 1
Li3 Li 0.000 0.636 0.364 1
Li4 Li 0.000 0.059 0.414 1
Li5 Li 0.000 0.941 0.586 1
Li6 Li 0.000 0.364 0.636 1
Li7 Li 0.000 0.281 0.281 1
Li8 Li 0.000 0.841 0.159 1
Li9 Li 0.000 0.159 0.841 1
Li10 Li 0.000 0.414 0.059 1
Li11 Li 0.000 0.719 0.719 1
```

## Properties
Uncorrected energy, hartree per atom: -0.0704
Total magnetic moment, μB/cell: 0.0
Space-group type: Cmmm (65)
N(E_F), states/eV/cell: 5.5
Energy of formation from the pure elements, eV per atom: -0.22


Entry from Alexandria via LeMat-Bulk: an optimized crystal structure of Li4Cd2Ag (GGA-PBE).

Structure (CIF):
```
data_Li4Cd2Ag
_symmetry_space_group_name_H-M 'P 1'
_symmetry_Int_Tables_number 1
_cell_length_a 9.313
_cell_length_b 5.459
_cell_length_c 5.750
_cell_angle_alpha 118.34
_cell_angle_beta 90.00
_cell_angle_gamma 90.00
loop_
_symmetry_equiv_pos_as_xyz
'x,y,z'
loop_
_atom_site_label
_atom_site_type_symbol
_atom_site_fract_x
_atom_site_fract_y
_atom_site_fract_z
_atom_site_occupancy
Li1 Li 0.750 0.502 0.500 1
Li2 Li 0.749 0.246 0.000 1
Li3 Li 0.751 0.746 0.000 1
Li4 Li 0.250 0.998 0.500 1
Li5 Li 0.251 0.754 0.000 1
Li6 Li 0.250 0.498 0.500 1
Li7 Li 0.750 0.002 0.500 1
Li8 Li 0.249 0.254 0.000 1
Ag1 Ag 0.000 0.000 0.000 1
Ag2 Ag 0.500 0.500 0.000 1
Cd1 Cd 0.500 0.849 0.699 1
Cd2 Cd 0.500 0.151 0.301 1
Cd3 Cd 0.000 0.651 0.301 1
Cd4 Cd 0.000 0.349 0.699 1
```

## Properties
Excess energy over the best structure of this formula in the dataset, kJ/mol of formula units: 41
Uncorrected energy, hartree per atom: -0.0670
Total magnetic moment, μB/cell: 0.0
Space-group type: Cmce (64)
N(E_F), states/eV/cell: 4.1
Energy of formation from the pure elements, eV per atom: -0.06


Entry from Alexandria via LeMat-Bulk: an optimized crystal structure of LiCd3Ag3 (GGA-PBE).

Structure (CIF):
```
data_LiCd3Ag3
_symmetry_space_group_name_H-M 'P 1'
_symmetry_Int_Tables_number 1
_cell_length_a 8.317
_cell_length_b 8.317
_cell_length_c 8.317
_cell_angle_alpha 90.00
_cell_angle_beta 90.00
_cell_angle_gamma 90.00
loop_
_symmetry_equiv_pos_as_xyz
'x,y,z'
loop_
_atom_site_label
_atom_site_type_symbol
_atom_site_fract_x
_atom_site_fract_y
_atom_site_fract_z
_atom_site_occupancy
Ag1 Ag 0.641 0.141 0.359 1
Ag2 Ag 0.359 0.641 0.141 1
Ag3 Ag 0.351 0.851 0.649 1
Ag4 Ag 0.859 0.859 0.859 1
Ag5 Ag 0.666 0.666 0.666 1
Ag6 Ag 0.141 0.359 0.641 1
Ag7 Ag 0.834 0.334 0.166 1
Ag8 Ag 0.149 0.149 0.149 1
Ag9 Ag 0.166 0.834 0.334 1
Ag10 Ag 0.851 0.649 0.351 1
Ag11 Ag 0.334 0.166 0.834 1
Ag12 Ag 0.649 0.351 0.851 1
Cd1 Cd 0.367 0.547 0.813 1
Cd2 Cd 0.953 0.187 0.867 1
Cd3 Cd 0.047 0.687 0.633 1
Cd4 Cd 0.133 0.453 0.313 1
Cd5 Cd 0.813 0.367 0.547 1
Cd6 Cd 0.633 0.047 0.687 1
Cd7 Cd 0.687 0.633 0.047 1
Cd8 Cd 0.867 0.953 0.187 1
Cd9 Cd 0.453 0.313 0.133 1
Cd10 Cd 0.187 0.867 0.953 1
Cd11 Cd 0.313 0.133 0.453 1
Cd12 Cd 0.547 0.813 0.367 1
Li1 Li 0.531 0.969 0.031 1
Li2 Li 0.969 0.031 0.531 1
Li3 Li 0.469 0.469 0.469 1
Li4 Li 0.031 0.531 0.969 1
```

## Properties
Excess energy over the best structure of this formula in the dataset, kJ/mol of formula units: 0
Uncorrected energy, hartree per atom: -0.0710
Total magnetic moment, μB/cell: 0.0
Space-group type: P2_13 (198)
N(E_F), states/eV/cell: 11.5
Energy of formation from the pure elements, eV per atom: -0.05


Entry from Alexandria via LeMat-Bulk: an optimized crystal structure of Li3Cd5Ag (GGA-PBE).

Structure (CIF):
```
data_Li3Cd5Ag
_symmetry_space_group_name_H-M 'P 1'
_symmetry_Int_Tables_number 1
_cell_length_a 7.830
_cell_length_b 7.830
_cell_length_c 8.144
_cell_angle_alpha 118.73
_cell_angle_beta 118.73
_cell_angle_gamma 90.00
loop_
_symmetry_equiv_pos_as_xyz
'x,y,z'
loop_
_atom_site_label
_atom_site_type_symbol
_atom_site_fract_x
_atom_site_fract_y
_atom_site_fract_z
_atom_site_occupancy
Li1 Li 0.250 0.250 0.500 1
Li2 Li 0.396 0.896 0.000 1
Li3 Li 0.604 0.104 0.000 1
Li4 Li 0.104 0.396 0.000 1
Li5 Li 0.750 0.750 0.500 1
Li6 Li 0.896 0.604 0.000 1
Cd1 Cd 0.341 0.841 0.262 1
Cd2 Cd 0.579 0.659 0.738 1
Cd3 Cd 0.159 0.079 0.738 1
Cd4 Cd 0.421 0.341 0.262 1
Cd5 Cd 0.841 0.921 0.262 1
Cd6 Cd 0.659 0.159 0.738 1
Cd7 Cd 0.500 0.500 0.000 1
Cd8 Cd 0.079 0.579 0.738 1
Cd9 Cd 0.921 0.421 0.262 1
Cd10 Cd 0.000 0.000 0.000 1
Ag1 Ag 0.250 0.750 0.500 1
Ag2 Ag 0.750 0.250 0.500 1
```

## Properties
Uncorrected energy, hartree per atom: -0.0561
Total magnetic moment, μB/cell: 0.0
Space-group type: I4/mcm (140)
N(E_F), states/eV/cell: 5.2
Energy of formation from the pure elements, eV per atom: -0.06